# 1
Crystalline Mg3Pb at its relaxed geometry, computed with PBEsol.

Summary:
Density of states at the Fermi level in states/eV per cell: 1.6
Energy in eV per atom: -2.29
Space group: P-6m2
Crystal system: hexagonal
Formation energy from the elements in eV/atom: 0.00
Calculated volume in Å³/f.u.: 98.0

Unit cell a=3.355 b=3.355 c=10.051 alpha=90.00 beta=90.00 gamma=120.00
Sites, in units of the cell vectors:
Mg  0.000  0.000  0.000
Mg  0.667  0.333  0.244
Mg  0.667  0.333  0.756
Pb  0.000  0.000  0.500

=====

# 2
Crystalline Mg3Pb at its relaxed geometry, computed with PBEsol.

Summary:
Density of states at the Fermi level in states/eV per cell: 3.2
Energy in eV per atom: -2.36
Space group: I4/mmm
Crystal system: tetragonal
Formation energy from the elements in eV/atom: -0.07
Calculated volume in Å³/f.u.: 93.5

Unit cell a=9.545 b=9.545 c=9.545 alpha=152.34 beta=152.34 gamma=39.52
Sites, in units of the cell vectors:
Mg  0.000  0.500  0.500
Mg  0.124  0.124  0.000
Mg  0.250  0.750  0.500
Mg  0.500  0.000  0.500
Mg  0.750  0.250  0.500
Mg  0.876  0.876  0.000
Pb  0.373  0.373  0.000
Pb  0.627  0.627  0.000

=====

# 3
Crystalline MgPb at its relaxed geometry, computed with PBEsol.

Summary:
Density of states at the Fermi level in states/eV per cell: 1.7
Energy in eV per atom: -2.84
Space group: Fd-3m
Crystal system: cubic
Formation energy from the elements in eV/atom: 0.01
Calculated volume in Å³/f.u.: 53.5

Unit cell a=5.329 b=5.329 c=5.329 alpha=60.00 beta=60.00 gamma=60.00
Sites, in units of the cell vectors:
Mg  0.125  0.125  0.125
Mg  0.875  0.875  0.875
Pb  0.375  0.375  0.375
Pb  0.625  0.625  0.625

=====

# 4
Crystalline Mg5Pb4 at its relaxed geometry, computed with PBEsol.

Summary:
Distance to the lowest polymorph of the same formula in eV per atom: 0.000
Density of states at the Fermi level in states/eV per cell: 3.4
Energy in eV per atom: -2.79
Space group: I4/mmm
Crystal system: tetragonal
Formation energy from the elements in eV/atom: -0.06
Calculated volume in Å³/f.u.: 227.1

Unit cell a=7.318 b=7.318 c=7.318 alpha=96.01 beta=96.01 gamma=142.25
Sites, in units of the cell vectors:
Mg  0.000  0.000  0.000
Mg  0.336  0.336  0.672
Mg  0.336  0.664  0.000
Mg  0.664  0.336  0.000
Mg  0.664  0.664  0.328
Pb  0.000  0.314  0.314
Pb  0.000  0.686  0.686
Pb  0.314  0.000  0.314
Pb  0.686  0.000  0.686

=====

# 5
Crystalline Mg5Pb3 at its relaxed geometry, computed with PBEsol.

Summary:
Distance to the lowest polymorph of the same formula in eV per atom: 0.031
Density of states at the Fermi level in states/eV per cell: 6.8
Energy in eV per atom: -2.62
Space group: P6_3/mcm
Crystal system: hexagonal
Formation energy from the elements in eV/atom: -0.05
Calculated volume in Å³/f.u.: 197.9

Unit cell a=8.784 b=8.784 c=5.923 alpha=90.00 beta=90.00 gamma=120.00
Sites, in units of the cell vectors:
Mg  0.000  0.220  0.250
Mg  0.000  0.780  0.750
Mg  0.220  0.000  0.250
Mg  0.220  0.220  0.750
Mg  0.333  0.667  0.000
Mg  0.333  0.667  0.500
Mg  0.667  0.333  0.000
Mg  0.667  0.333  0.500
Mg  0.780  0.000  0.750
Mg  0.780  0.780  0.250
Pb  0.000  0.400  0.750
Pb  0.000  0.600  0.250
Pb  0.400  0.000  0.750
Pb  0.400  0.400  0.250
Pb  0.600  0.000  0.250
Pb  0.600  0.600  0.750

=====

# 6
Crystalline Mg2Pb at its relaxed geometry, computed with PBEsol.

Summary:
Density of states at the Fermi level in states/eV per cell: 0.3
Energy in eV per atom: -2.57
Space group: Fm-3m
Crystal system: cubic
Formation energy from the elements in eV/atom: -0.09
Calculated volume in Å³/f.u.: 79.7

Unit cell a=4.831 b=4.831 c=4.831 alpha=60.00 beta=60.00 gamma=60.00
Sites, in units of the cell vectors:
Mg  0.250  0.250  0.250
Mg  0.750  0.750  0.750
Pb  0.000  0.000  0.000

=====

# 7
Crystalline MgPb at its relaxed geometry, computed with PBEsol.

Summary:
Density of states at the Fermi level in states/eV per cell: 1.4
Energy in eV per atom: -2.93
Space group: Imma
Crystal system: orthorhombic
Formation energy from the elements in eV/atom: -0.07
Calculated volume in Å³/f.u.: 50.9

Unit cell a=5.959 b=5.959 c=5.959 alpha=135.96 beta=135.40 gamma=64.48
Sites, in units of the cell vectors:
Mg  0.375  0.125  0.250
Mg  0.625  0.875  0.750
Pb  0.126  0.376  0.750
Pb  0.874  0.624  0.250

=====

# 8
Crystalline MgPb2 at its relaxed geometry, computed with PBEsol.

Summary:
Distance to the lowest polymorph of the same formula in eV per atom: 0.024
Density of states at the Fermi level in states/eV per cell: 2.0
Energy in eV per atom: -3.26
Space group: P6_3/mmc
Crystal system: hexagonal
Formation energy from the elements in eV/atom: -0.02
Calculated volume in Å³/f.u.: 82.3

Unit cell a=5.277 b=5.277 c=6.823 alpha=90.00 beta=90.00 gamma=120.00
Sites, in units of the cell vectors:
Mg  0.333  0.667  0.250
Mg  0.667  0.333  0.750
Pb  0.000  0.000  0.000
Pb  0.000  0.000  0.500
Pb  0.333  0.667  0.750
Pb  0.667  0.333  0.250